CsGa3Tc | GGA-PBEsol | optimized geometry

a = 4.928 Å, b = 4.928 Å, c = 4.928 Å
α = 90.00°, β = 90.00°, γ = 90.00°
Space group Pm-3m (No. 221)
Asymmetric unit:
1 Cs 0.000 0.000 0.000 [1 per cell]
2 Ga 0.000 0.500 0.500 [3 per cell]
3 Tc 0.500 0.500 0.500 [1 per cell]

Properties
The formation energy is -73 meV/atom. Its density of states at the Fermi level is 2.8 states/eV/f.u.